The following is a PBE calculation of a geometry-optimized Ca2Nd2Pd15 structure, from Alexandria via LeMat-Bulk.

Calculated values
Formation energy from the elements, eV per atom: -0.460
Density of states at the Fermi level, states/eV/cell: 15.93

Cell and atoms, written as extended XYZ:
```
19
Lattice="7.162 0.063 0.056 0.992 7.094 0.056 0.992 0.870 7.040" Properties=species:S:1:pos:R:3 pbc="T T T"
Ca 3.361 2.950 2.628
Ca 5.785 5.078 4.524
Nd 1.019 0.895 0.797
Nd 8.126 7.132 6.355
Pd 3.581 0.032 0.028
Pd 0.496 0.435 3.520
Pd 0.496 3.547 0.028
Pd 0.992 5.188 2.195
Pd 5.273 2.216 0.056
Pd 2.881 0.623 4.902
Pd 2.881 4.941 0.056
Pd 5.273 0.310 2.195
Pd 0.992 2.776 4.902
Pd 2.445 5.181 4.617
Pd 5.454 4.787 1.210
Pd 5.454 1.752 4.617
Pd 6.701 2.846 2.536
Pd 3.692 3.240 5.943
Pd 3.692 6.275 2.536
```